No. 1
## ErPdPtAu (PBE)

Data for an optimized crystal structure of ErPdPtAu.

Cell lengths 3.992, 4.220, 4.245 Å; angles 90.00, 90.00, 90.00 degrees
Sites, in units of the cell vectors:
Er (0.000, 0.000, 0.000)
Pd (0.500, 0.500, 0.000)
Pt (0.500, 0.000, 0.500)
Au (0.000, 0.500, 0.500)

Results
ΔH_f (0 K) = -0.931 eV per atom
SG = Pmmm, No. 47

=====

No. 2
## Ho2Si (PBE)

Data for an optimized crystal structure of Ho2Si.

Cell lengths 6.988, 6.988, 6.988 Å; angles 152.06, 152.06, 39.93 degrees
Sites, in units of the cell vectors:
Ho (0.138, 0.138, 0.000)
Ho (0.862, 0.862, 0.000)
Si (0.500, 0.500, 0.000)

Results
formation energy from raw total energies = -364 meV/atom
SG = I4/mmm, No. 139

=====

No. 3
## CeYTeI (PBE)

Data for an optimized crystal structure of CeYTeI.

Cell lengths 5.422, 5.422, 5.422 Å; angles 60.00, 60.00, 60.00 degrees
Sites, in units of the cell vectors:
Ce (0.000, 0.000, 0.000)
Y (0.500, 0.500, 0.500)
Te (0.250, 0.250, 0.250)
I (0.750, 0.750, 0.750)

Results
formation energy from raw total energies = -949 meV/atom
SG = F-43m, No. 216

=====

No. 4
## TbDy2Zn2 (PBE)

Data for an optimized crystal structure of TbDy2Zn2.

Cell lengths 8.066, 8.066, 6.155 Å; angles 90.00, 90.00, 141.67 degrees
Sites, in units of the cell vectors:
Tb (0.083, 0.917, 0.500)
Tb (0.917, 0.083, 0.000)
Dy (0.299, 0.701, 0.249)
Dy (0.457, 0.543, 0.656)
Dy (0.543, 0.457, 0.156)
Dy (0.701, 0.299, 0.749)
Zn (0.122, 0.878, 0.989)
Zn (0.275, 0.725, 0.757)
Zn (0.725, 0.275, 0.257)
Zn (0.878, 0.122, 0.489)

Results
ΔH_f (0 K) = -0.199 eV per atom
SG = Cmc2_1, No. 36

=====

No. 5
## TbScNi10 (PBE)

Data for an optimized crystal structure of TbScNi10.

Cell lengths 3.966, 4.814, 8.339 Å; angles 90.00, 90.00, 90.00 degrees
Sites, in units of the cell vectors:
Tb (0.000, 0.000, 0.000)
Sc (0.000, 0.500, 0.500)
Ni (0.000, 0.000, 0.340)
Ni (0.000, 0.000, 0.660)
Ni (0.000, 0.500, 0.175)
Ni (0.000, 0.500, 0.825)
Ni (0.500, 0.000, 0.500)
Ni (0.500, 0.251, 0.254)
Ni (0.500, 0.251, 0.746)
Ni (0.500, 0.500, 0.000)
Ni (0.500, 0.749, 0.254)
Ni (0.500, 0.749, 0.746)

Results
ΔH_f (0 K) = -0.303 eV per atom
SG = Pmmm, No. 47

=====

No. 6
## AcSb12Ru4 (PBE)

Data for an optimized crystal structure of AcSb12Ru4.

Cell lengths 8.148, 8.148, 8.148 Å; angles 109.47, 109.47, 109.47 degrees
Sites, in units of the cell vectors:
Ac (0.000, 0.000, 0.000)
Sb (0.159, 0.342, 0.501)
Sb (0.159, 0.658, 0.817)
Sb (0.183, 0.841, 0.342)
Sb (0.342, 0.183, 0.841)
Sb (0.342, 0.501, 0.159)
Sb (0.499, 0.841, 0.658)
Sb (0.501, 0.159, 0.342)
Sb (0.658, 0.499, 0.841)
Sb (0.658, 0.817, 0.159)
Sb (0.817, 0.159, 0.658)
Sb (0.841, 0.342, 0.183)
Sb (0.841, 0.658, 0.499)
Ru (0.000, 0.000, 0.500)
Ru (0.000, 0.500, 0.000)
Ru (0.500, 0.000, 0.000)
Ru (0.500, 0.500, 0.500)

Results
formation energy from raw total energies = -368 meV/atom
SG = Im-3, No. 204

=====

No. 7
## CoRe2Ru (PBE)

Data for an optimized crystal structure of CoRe2Ru.

Cell lengths 9.073, 9.073, 9.073 Å; angles 156.22, 156.22, 33.88 degrees
Sites, in units of the cell vectors:
Co (0.000, 0.000, 0.000)
Co (0.750, 0.250, 0.500)
Re (0.092, 0.625, 0.967)
Re (0.375, 0.342, 0.467)
Re (0.658, 0.125, 0.033)
Re (0.875, 0.908, 0.533)
Ru (0.250, 0.750, 0.500)
Ru (0.500, 0.500, 0.000)

Results
ΔH_f (0 K) = 0.698 eV per atom
SG = I-42d, No. 122

=====

No. 8
## AcPaTlSn (PBE)

Data for an optimized crystal structure of AcPaTlSn.

Cell lengths 5.581, 5.581, 5.581 Å; angles 60.00, 60.00, 60.00 degrees
Sites, in units of the cell vectors:
Ac (0.000, 0.000, 0.000)
Pa (0.500, 0.500, 0.500)
Tl (0.250, 0.250, 0.250)
Sn (0.750, 0.750, 0.750)

Results
ΔH_f (0 K) = -0.036 eV per atom
SG = F-43m, No. 216

=====

No. 9
## Ba2SrAl2 (PBE)

Data for an optimized crystal structure of Ba2SrAl2.

Cell lengths 9.957, 9.957, 3.795 Å; angles 90.00, 90.00, 90.00 degrees
Sites, in units of the cell vectors:
Ba (0.128, 0.372, 0.000)
Ba (0.372, 0.872, 0.000)
Ba (0.628, 0.128, 0.000)
Ba (0.872, 0.628, 0.000)
Sr (0.000, 0.000, 0.000)
Sr (0.500, 0.500, 0.000)
Al (0.171, 0.671, 0.500)
Al (0.329, 0.171, 0.500)
Al (0.671, 0.829, 0.500)
Al (0.829, 0.329, 0.500)

Results
ΔH_f (0 K) = 0.056 eV per atom
SG = P4/mbm, No. 127

=====

No. 10
## YTl3 (PBE)

Data for an optimized crystal structure of YTl3.

Cell lengths 6.117, 6.117, 6.117 Å; angles 90.00, 90.00, 90.00 degrees
Sites, in units of the cell vectors:
Y (0.000, 0.000, 0.000)
Tl (0.000, 0.000, 0.500)
Tl (0.000, 0.500, 0.000)
Tl (0.500, 0.000, 0.000)

Results
ΔH_f (0 K) = 0.602 eV per atom
SG = Pm-3m, No. 221

=====

No. 11
## GaAgHg2 (PBE)

Data for an optimized crystal structure of GaAgHg2.

Cell lengths 4.452, 4.452, 4.329 Å; angles 90.00, 90.00, 90.00 degrees
Sites, in units of the cell vectors:
Ga (0.000, 0.000, 0.000)
Ag (0.500, 0.500, 0.000)
Hg (0.000, 0.500, 0.500)
Hg (0.500, 0.000, 0.500)

Results
ΔH_f (0 K) = 0.115 eV per atom
SG = P4/mmm, No. 123

=====

No. 12
## La3CoSn (PBE)

Data for an optimized crystal structure of La3CoSn.

Cell lengths 9.947, 9.947, 9.947 Å; angles 60.00, 60.00, 60.00 degrees
Sites, in units of the cell vectors:
La (0.084, 0.084, 0.666)
La (0.084, 0.666, 0.084)
La (0.084, 0.666, 0.666)
La (0.334, 0.334, 0.916)
La (0.334, 0.916, 0.334)
La (0.334, 0.916, 0.916)
La (0.666, 0.084, 0.084)
La (0.666, 0.084, 0.666)
La (0.666, 0.666, 0.084)
La (0.916, 0.334, 0.334)
La (0.916, 0.334, 0.916)
La (0.916, 0.916, 0.334)
Co (0.000, 0.000, 0.000)
Co (0.000, 0.000, 0.500)
Co (0.000, 0.500, 0.000)
Co (0.500, 0.000, 0.000)
Sn (0.000, 0.500, 0.500)
Sn (0.500, 0.000, 0.500)
Sn (0.500, 0.500, 0.000)
Sn (0.500, 0.500, 0.500)

Results
ΔH_f (0 K) = -0.162 eV per atom
SG = Fd-3m, No. 227

=====

No. 13
## PmPr5Te6 (PBE)

Data for an optimized crystal structure of PmPr5Te6.

Cell lengths 7.850, 7.850, 7.813 Å; angles 99.65, 99.65, 120.19 degrees
Sites, in units of the cell vectors:
Pm (0.000, 0.000, 0.000)
Pr (0.170, 0.830, 0.500)
Pr (0.333, 0.667, 0.000)
Pr (0.500, 0.500, 0.500)
Pr (0.667, 0.333, 0.000)
Pr (0.830, 0.170, 0.500)
Te (0.083, 0.412, 0.247)
Te (0.246, 0.246, 0.750)
Te (0.412, 0.083, 0.247)
Te (0.588, 0.917, 0.753)
Te (0.754, 0.754, 0.250)
Te (0.917, 0.588, 0.753)

Results
formation energy from raw total energies = -1437 meV/atom
SG = C2/m, No. 12

=====

No. 14
## K2AgBiBr6 (PBE)

Data for an optimized crystal structure of K2AgBiBr6.

Cell lengths 7.702, 8.092, 13.342 Å; angles 90.00, 124.69, 90.00 degrees
Sites, in units of the cell vectors:
K (0.220, 0.080, 0.247)
K (0.220, 0.420, 0.747)
K (0.780, 0.580, 0.253)
K (0.780, 0.920, 0.753)
Ag (0.000, 0.000, 0.500)
Ag (0.000, 0.500, 0.000)
Bi (0.500, 0.000, 0.000)
Bi (0.500, 0.500, 0.500)
Br (0.143, 0.197, 0.947)
Br (0.143, 0.303, 0.447)
Br (0.256, 0.700, 0.948)
Br (0.256, 0.800, 0.448)
Br (0.353, 0.025, 0.747)
Br (0.353, 0.475, 0.247)
Br (0.647, 0.525, 0.753)
Br (0.647, 0.975, 0.253)
Br (0.744, 0.200, 0.552)
Br (0.744, 0.300, 0.052)
Br (0.857, 0.697, 0.553)
Br (0.857, 0.803, 0.053)

Results
formation energy from raw total energies = -1081 meV/atom
SG = P2_1/c, No. 14

=====

No. 15
## Sr5Tl4Ag (PBE)

Data for an optimized crystal structure of Sr5Tl4Ag.

Cell lengths 4.083, 4.083, 20.147 Å; angles 90.00, 90.00, 90.00 degrees
Sites, in units of the cell vectors:
Sr (0.000, 0.000, 0.000)
Sr (0.000, 0.000, 0.203)
Sr (0.000, 0.000, 0.405)
Sr (0.000, 0.000, 0.595)
Sr (0.000, 0.000, 0.797)
Tl (0.500, 0.500, 0.104)
Tl (0.500, 0.500, 0.302)
Tl (0.500, 0.500, 0.698)
Tl (0.500, 0.500, 0.896)
Ag (0.500, 0.500, 0.500)

Results
ΔH_f (0 K) = -0.389 eV per atom
SG = P4/mmm, No. 123

=====

No. 16
## Pm7PrTm4 (PBE)

Data for an optimized crystal structure of Pm7PrTm4.

Cell lengths 3.601, 3.601, 35.231 Å; angles 90.00, 90.00, 120.00 degrees
Sites, in units of the cell vectors:
Pm (0.000, 0.000, 0.000)
Pm (0.000, 0.000, 0.249)
Pm (0.000, 0.000, 0.751)
Pm (0.333, 0.667, 0.164)
Pm (0.333, 0.667, 0.413)
Pm (0.667, 0.333, 0.587)
Pm (0.667, 0.333, 0.836)
Pr (0.000, 0.000, 0.500)
Tm (0.333, 0.667, 0.668)
Tm (0.333, 0.667, 0.918)
Tm (0.667, 0.333, 0.082)
Tm (0.667, 0.333, 0.332)

Results
ΔH_f (0 K) = 0.020 eV per atom
SG = P-3m1, No. 164

=====

No. 17
## NaCeSnPd (PBE)

Data for an optimized crystal structure of NaCeSnPd.

Cell lengths 4.992, 4.992, 4.992 Å; angles 60.00, 60.00, 60.00 degrees
Sites, in units of the cell vectors:
Na (0.000, 0.000, 0.000)
Ce (0.750, 0.750, 0.750)
Sn (0.250, 0.250, 0.250)
Pd (0.500, 0.500, 0.500)

Results
ΔH_f (0 K) = -0.467 eV per atom
SG = F-43m, No. 216

=====

No. 18
## Co2NiPb (PBE)

Data for an optimized crystal structure of Co2NiPb.

Cell lengths 4.573, 4.573, 4.573 Å; angles 129.62, 129.62, 74.02 degrees
Sites, in units of the cell vectors:
Co (0.000, 0.000, 0.000)
Co (0.750, 0.250, 0.500)
Ni (0.500, 0.500, 0.000)
Pb (0.250, 0.750, 0.500)

Results
ΔH_f (0 K) = 0.355 eV per atom
SG = I-4m2, No. 119

=====

No. 19
## Dy2GeBr (PBE)

Data for an optimized crystal structure of Dy2GeBr.

Cell lengths 7.360, 7.360, 7.360 Å; angles 33.12, 33.12, 33.12 degrees
Sites, in units of the cell vectors:
Dy (0.236, 0.236, 0.236)
Dy (0.764, 0.764, 0.764)
Ge (0.500, 0.500, 0.500)
Br (0.000, 0.000, 0.000)

Results
formation energy from raw total energies = -1073 meV/atom
SG = R-3m, No. 166

=====

No. 20
## ThSn12Pd4 (PBE)

Data for an optimized crystal structure of ThSn12Pd4.

Cell lengths 8.210, 8.210, 8.210 Å; angles 109.47, 109.47, 109.47 degrees
Sites, in units of the cell vectors:
Th (0.000, 0.000, 0.000)
Sn (0.159, 0.343, 0.502)
Sn (0.159, 0.657, 0.816)
Sn (0.184, 0.841, 0.343)
Sn (0.343, 0.184, 0.841)
Sn (0.343, 0.502, 0.159)
Sn (0.498, 0.841, 0.657)
Sn (0.502, 0.159, 0.343)
Sn (0.657, 0.498, 0.841)
Sn (0.657, 0.816, 0.159)
Sn (0.816, 0.159, 0.657)
Sn (0.841, 0.343, 0.184)
Sn (0.841, 0.657, 0.498)
Pd (0.000, 0.000, 0.500)
Pd (0.000, 0.500, 0.000)
Pd (0.500, 0.000, 0.000)
Pd (0.500, 0.500, 0.500)

Results
ΔH_f (0 K) = -0.311 eV per atom
SG = Im-3, No. 204

=====

no.,total magnetic moment (μB/atom)
1,0.00
2,0.00
3,0.37
4,0.00
5,0.23
6,0.00
7,0.21
8,0.54
9,0.00
10,0.53
11,0.00
12,0.00
13,0.00
14,0.00
15,0.00
16,0.00
17,0.24
18,0.67
19,0.00
20,0.00